1.
4
Lattice="-1.8098 2.6348 5.5207 1.8098 -2.6348 5.5207 1.8098 2.6348 -5.5207" Properties=species:S:1:pos:R:3 comment="La2ScW GGA-PBE relaxed" n_ef_per_ev_cell=5.7 final_energy_ev_per_atom=-6.78 magmom_total_mub_per_cell=0.00 e_form_ev_per_atom=0.5019 pbc="T T T"
La 0.0000 0.0000 2.2610
La 0.0000 0.0000 8.7804
Sc 0.0000 2.6348 0.0000
W 1.8098 0.0000 0.0000

---

2.
5
Lattice="4.4888 0.0000 0.0000 0.0000 4.4888 0.0000 0.0000 0.0000 4.7622" Properties=species:S:1:pos:R:3 comment="DySc2HgN GGA-PBE relaxed" n_ef_per_ev_cell=3.3 raw_formation_energy_mev_per_atom=-1009.4 final_energy_ev_per_atom=-6.19 magmom_total_mub_per_cell=0.00 pbc="T T T"
Dy 0.0000 0.0000 0.0000
Sc 0.0000 2.2444 2.3811
Sc 2.2444 0.0000 2.3811
Hg 2.2444 2.2444 0.0000
N 0.0000 0.0000 2.3811

---

3.
4
Lattice="-1.7308 1.7308 4.2833 1.7308 -1.7308 4.2833 1.7308 1.7308 -4.2833" Properties=species:S:1:pos:R:3 comment="Li2CoOs GGA-PBE relaxed" n_ef_per_ev_cell=2.9 final_energy_ev_per_atom=-5.19 magmom_total_mub_per_cell=2.47 e_form_ev_per_atom=0.3476 pbc="T T T"
Li 1.7308 0.0000 2.1417
Li 0.0000 1.7308 2.1417
Co 0.0000 0.0000 0.0000
Os 0.0000 0.0000 4.2833

---

4.
3
Lattice="-1.8779 1.8779 8.0852 1.8779 -1.8779 8.0852 1.8779 1.8779 -8.0852" Properties=species:S:1:pos:R:3 comment="BaHoTm GGA-PBE relaxed" n_ef_per_ev_cell=5.6 final_energy_ev_per_atom=-3.44 magmom_total_mub_per_cell=0.00 e_form_ev_per_atom=0.2126 pbc="T T T"
Ba 0.0000 0.0000 0.0000
Ho 0.0000 0.0000 11.0394
Tm 0.0000 0.0000 5.1395